(1)
# Y3CrC3, optimized geometry, DFT PBE
# Total magnetic moment in μB/cell: 0.00
# E_tot in eV per atom: -8.41
data_Y3CrC3
_symmetry_space_group_name_H-M 'C m c m'
_symmetry_Int_Tables_number 63
_symmetry_space_group_name_Hall '-C 2c 2'
_cell_length_a 8.5889
_cell_length_b 10.4162
_cell_length_c 5.1089
_cell_angle_alpha 90.00
_cell_angle_beta 90.00
_cell_angle_gamma 90.00
loop_
_atom_site_label
_atom_site_fract_x
_atom_site_fract_y
_atom_site_fract_z
Y1 0.0000 0.1093 0.2500
Y2 0.2117 0.3813 0.2500
Cr1 0.0000 0.3035 0.7500
C1 0.0000 0.1258 0.7500
C2 0.1968 0.3744 0.7500

---

(2)
# SrZnOs2, optimized geometry, DFT PBE
# Total magnetic moment in μB/cell: 0.00
# E_tot in eV per atom: -5.41
data_SrZnOs2
_symmetry_space_group_name_H-M 'P 4/m m m'
_symmetry_Int_Tables_number 123
_symmetry_space_group_name_Hall '-P 4 2'
_cell_length_a 3.9734
_cell_length_b 3.9734
_cell_length_c 4.6009
_cell_angle_alpha 90.00
_cell_angle_beta 90.00
_cell_angle_gamma 90.00
loop_
_atom_site_label
_atom_site_fract_x
_atom_site_fract_y
_atom_site_fract_z
Sr1 0.0000 0.0000 0.0000
Zn1 0.5000 0.5000 0.0000
Os1 0.0000 0.5000 0.5000

---

(3)
# Dy3GaH, optimized geometry, DFT PBE
# Total magnetic moment in μB/cell: 0.00
# E_tot in eV per atom: -4.40
data_Dy3GaH
_symmetry_space_group_name_H-M 'P 1 21/m 1'
_symmetry_Int_Tables_number 11
_cell_length_a 6.4670
_cell_length_b 3.5326
_cell_length_c 9.9901
_cell_angle_alpha 90.00
_cell_angle_beta 99.63
_cell_angle_gamma 90.00
loop_
_symmetry_equiv_pos_as_xyz
'x,y,z'
'-x,-y,-z'
'-x,y+1/2,-z'
'x,-y+1/2,z'
loop_
_atom_site_label
_atom_site_fract_x
_atom_site_fract_y
_atom_site_fract_z
Dy1 0.0830 0.2500 0.3440
Dy2 0.2362 0.2500 0.9262
Dy3 0.4055 0.7500 0.6363
Ga1 0.2965 0.7500 0.1674
H1 0.1745 0.2500 0.6945

---

Please write out number 1 again, unchanged.
# Y3CrC3, optimized geometry, DFT PBE
# Total magnetic moment in μB/cell: 0.00
# E_tot in eV per atom: -8.41
data_Y3CrC3
_symmetry_space_group_name_H-M 'C m c m'
_symmetry_Int_Tables_number 63
_symmetry_space_group_name_Hall '-C 2c 2'
_cell_length_a 8.5889
_cell_length_b 10.4162
_cell_length_c 5.1089
_cell_angle_alpha 90.00
_cell_angle_beta 90.00
_cell_angle_gamma 90.00
loop_
_atom_site_label
_atom_site_fract_x
_atom_site_fract_y
_atom_site_fract_z
Y1 0.0000 0.1093 0.2500
Y2 0.2117 0.3813 0.2500
Cr1 0.0000 0.3035 0.7500
C1 0.0000 0.1258 0.7500
C2 0.1968 0.3744 0.7500